Density functional theory data (GGA-PBE) for a geometry-optimized SrAs3 structure.

Summary:
Its space group is Pm-3n. As for the calculated formation energy: -46 kJ/mol of formula units.

a = 5.7183 Å, b = 5.7183 Å, c = 5.7183 Å
α = 90.00°, β = 90.00°, γ = 90.00°
Closest atoms and distances in Å follow each position.
Element x y z (fractional)
Sr (0.0000, 0.0000, 0.0000)  12 As 3.20
Sr (0.5000, 0.5000, 0.5000)  12 As 3.20
As (0.0000, 0.2500, 0.5000)  2 As 2.86, 4 Sr 3.20
As (0.0000, 0.7500, 0.5000)  2 As 2.86, 4 Sr 3.20
As (0.2500, 0.5000, 0.0000)  2 As 2.86, 4 Sr 3.20
As (0.5000, 0.0000, 0.2500)  2 As 2.86, 4 Sr 3.20
As (0.5000, 0.0000, 0.7500)  2 As 2.86, 4 Sr 3.20
As (0.7500, 0.5000, 0.0000)  2 As 2.86, 4 Sr 3.20